1.
VASP calculation (PBE) on a relaxed Hf4Sn2Mo crystal.

abc: 4.8532 4.8532 8.3286
angles: 73.06 73.06 90.00
Last column: nearest neighbours and their distance in Å.
Atoms (fractional coordinates):
Hf: 0.5000 0.0000 0.0000  2 Mo 2.43
Hf: 0.1726 0.1726 0.6549  1 Mo 2.62, 1 Sn 2.88
Hf: 0.0000 0.5000 0.0000  2 Mo 2.43
Hf: 0.8274 0.8274 0.3451  1 Mo 2.62, 1 Sn 2.88
Mo: 0.0000 0.0000 0.0000  6 Hf 2.43-2.62
Sn: 0.3627 0.3627 0.2747  5 Hf 2.88-3.20
Sn: 0.6373 0.6373 0.7253  5 Hf 2.88-3.20

## Properties
* final energy: -7.9108 eV per atom
* ΔE to the lowest computed polymorph: 0.4902 eV per atom
* space group: I4/mmm



2.
VASP calculation (PBE) on a relaxed Ho2ScUP4 crystal.

abc: 3.9094 6.7574 6.7905
angles: 109.23 90.00 90.00
Last column: nearest neighbours and their distance in Å.
Atoms (fractional coordinates):
P: 0.5000 0.2444 0.2374  2 Sc 2.72, 1 U 2.72, 3 Ho 2.80-2.82
P: 0.0000 0.2488 0.7582  1 Sc 2.71, 2 U 2.75, 3 Ho 2.79-2.81
P: 0.5000 0.7556 0.7626  2 Sc 2.72, 1 U 2.72, 3 Ho 2.80-2.82
P: 0.0000 0.7512 0.2418  1 Sc 2.71, 2 U 2.75, 3 Ho 2.79-2.81
Ho: 0.5000 0.0000 0.5000  6 P 2.79-2.80
Ho: 0.0000 0.5000 0.5000  6 P 2.81-2.82
Sc: 0.0000 0.0000 0.0000  6 P 2.71-2.72
U: 0.5000 0.5000 0.0000  6 P 2.72-2.75

## Properties
* final energy: -7.4660 eV per atom
* space group: P2/m



3.
VASP calculation (PBE) on a relaxed Y3Cu8Ag crystal.

abc: 5.1665 5.1665 9.0236
angles: 73.36 73.36 60.00
Last column: nearest neighbours and their distance in Å.
Atoms (fractional coordinates):
Y: 0.3792 0.3792 0.8625  12 Cu 2.99-3.13, 4 Y 3.30
Y: 0.5082 0.5082 0.4753  12 Cu 2.88-3.15, 3 Ag 3.08
Y: 0.9909 0.9909 0.0273  12 Cu 2.93-3.27, 1 Ag 3.05
Ag: 0.8714 0.8714 0.3857  12 Cu 2.96-3.08, 4 Y 3.05-3.08
Cu: 0.1881 0.1881 0.4358  6 Cu 2.56-2.60
Cu: 0.9384 0.4371 0.6860  6 Cu 2.58-2.63
Cu: 0.9451 0.4332 0.1884  6 Cu 2.52-2.64
Cu: 0.4332 0.9451 0.1884  6 Cu 2.52-2.64
Cu: 0.4332 0.4332 0.1884  6 Cu 2.52-2.64
Cu: 0.4371 0.9384 0.6860  6 Cu 2.58-2.63
Cu: 0.6865 0.6865 0.9404  6 Cu 2.61-2.63
Cu: 0.9384 0.9384 0.6860  6 Cu 2.58-2.63

## Properties
* final energy: -4.7719 eV per atom
* space group: R3m